Entry from Alexandria via LeMat-Bulk: an optimized crystal structure of HoCoAs2O8 (PBE+U).

Computed properties:
Space group: I-4m2
Energy (eV per atom): -6.471

a = 5.8223 Å, b = 5.8223 Å, c = 5.8223 Å
α = 106.28°, β = 106.28°, γ = 116.06°
Element x y z (fractional)
Ho: 0.0000 0.0000 0.0000
Co: 0.7500 0.2500 0.5000
As: 0.2500 0.7500 0.5000
As: 0.5000 0.5000 0.0000
O: 0.0568 0.3799 0.3231
O: 0.0568 0.7337 0.6769
O: 0.1300 0.3171 0.8129
O: 0.2663 0.9432 0.3231
O: 0.5041 0.3171 0.1871
O: 0.6201 0.9432 0.6769
O: 0.6829 0.4959 0.8129
O: 0.6829 0.8700 0.1871